Entry 1:
First-principles (GGA-PBE) data for LiMgAs after structural relaxation, as listed in Alexandria via LeMat-Bulk.

Geometry as POSCAR:
```
LiMgAs
1.0
4.199 0.000 0.000
-2.099 3.636 0.000
0.000 0.000 3.583
Li Mg As
1 1 1
Cartesian
0.000 0.000 0.000
2.099 1.212 1.792
0.000 2.424 0.000
```

energy of formation from the pure elements = -438 meV per atom
symmetry = P-6m2
density of states at the Fermi level = 0.18 states/eV per atom
E = -3.157 eV/atom
calculated volume = 18.2 Å³ per atom

Entry 2:
First-principles (GGA-PBE) data for Pm3P after structural relaxation, as listed in Alexandria via LeMat-Bulk.

Geometry as POSCAR:
```
Pm3P
1.0
-1.905 4.708 3.200
1.905 -4.708 3.200
1.905 4.708 -3.200
Pm P
3 1
Cartesian
0.000 0.000 0.000
1.905 2.933 0.341
0.000 1.775 3.542
1.905 0.000 2.077
```

energy of formation from the pure elements = -595 meV per atom
symmetry = Imm2
E above lowest polymorph = 0 meV per atom
density of states at the Fermi level = 0.50 states/eV per atom
E = -5.510 eV/atom
calculated volume = 28.7 Å³ per atom